Entry 1:
Compound: Pm2ThPd2
Source: the Alexandria database
Functional: PBE-GGA
Structure: relaxed

Lattice parameters (Å, degrees): 10.757 7.248 7.238 90.00 108.86 90.00
Space group P2_1/c (No. 14)
Asymmetric unit:
Pm 0.108 0.183 0.039 [4 per cell]
Pm 0.246 0.666 0.242 [4 per cell]
Th 0.396 0.181 0.459 [4 per cell]
Pd 0.068 0.548 0.852 [4 per cell]
Pd 0.428 0.545 0.642 [4 per cell]

Computed properties:
E_form	-0.574	eV/atom
total DFT energy (no corrections)	-6.0355	eV per atom
crystal system	monoclinic
volume	533.98	Å³/cell
theoretical density	9.14	g cm⁻³
DOS at the Fermi energy	0.910	states/eV per atom

Entry 2:
Compound: PmTh2Pd2
Source: the Alexandria database
Functional: PBE-GGA
Structure: relaxed

Lattice parameters (Å, degrees): 8.224 8.224 3.833 90.00 90.00 90.00
Space group P4/mbm (No. 127)
Asymmetric unit:
Pm 0.000 0.000 0.000 [2 per cell]
Th 0.169 0.331 0.500 [4 per cell]
Pd 0.125 0.625 0.000 [4 per cell]

Computed properties:
E_form	-0.593	eV/atom
total DFT energy (no corrections)	-6.5885	eV per atom
crystal system	tetragonal
volume	259.25	Å³/cell
theoretical density	10.53	g cm⁻³
DOS at the Fermi energy	1.223	states/eV per atom

Entry 3:
Compound: PmTh2Pd
Source: the Alexandria database
Functional: PBE-GGA
Structure: relaxed

Lattice parameters (Å, degrees): 3.767 10.307 6.262 90.00 107.50 90.00
Space group P2_1/m (No. 11)
Asymmetric unit:
Pm 0.080 0.250 0.161 [2 per cell]
Th 0.364 0.050 0.728 [4 per cell]
Pd 0.214 0.750 0.428 [2 per cell]

Computed properties:
E_form	-0.374	eV/atom
total DFT energy (no corrections)	-6.5694	eV per atom
crystal system	monoclinic
volume	231.89	Å³/cell
theoretical density	10.25	g cm⁻³
DOS at the Fermi energy	1.088	states/eV per atom

Entry 4:
Compound: Pm2ThPd
Source: the Alexandria database
Functional: PBE-GGA
Structure: relaxed

Lattice parameters (Å, degrees): 3.5022 3.5022 33.5121 90.00 90.00 120.00
Space group R-3m (No. 166, hexagonal axes)
Asymmetric unit:
Pm 0.0000 0.0000 0.0799 [6 per cell]
Th 0.0000 0.0000 0.5000 [3 per cell]
Pd 0.0000 0.0000 0.0000 [3 per cell]

Computed properties:
E_form	0.088	eV/atom
total DFT energy (no corrections)	-5.4409	eV per atom
crystal system	trigonal
volume	355.98	Å³/cell
theoretical density	8.79	g cm⁻³
DOS at the Fermi energy	0.872	states/eV per atom

Entry 5:
Compound: Pm2ThPd
Source: the Alexandria database
Functional: PBE-GGA
Structure: relaxed

Lattice parameters (Å, degrees): 3.7738 3.7738 29.3720 90.00 90.00 120.00
Space group R3m (No. 160, hexagonal axes)
Asymmetric unit:
Pm 0.0000 0.0000 0.0000 [3 per cell]
Pm 0.0000 0.0000 0.2015 [3 per cell]
Th 0.0000 0.0000 0.4345 [3 per cell]
Pd 0.0000 0.0000 0.6009 [3 per cell]

Computed properties:
E_form	-0.197	eV/atom
total DFT energy (no corrections)	-5.7253	eV per atom
crystal system	trigonal
volume	362.25	Å³/cell
theoretical density	8.64	g cm⁻³
DOS at the Fermi energy	1.532	states/eV per atom

Entry 6:
Compound: PmThPd2
Source: the Alexandria database
Functional: PBE-GGA
Structure: relaxed

Lattice parameters (Å, degrees): 4.1722 4.1722 20.8044 90.00 90.00 120.00
Space group R-3m (No. 166, hexagonal axes)
Asymmetric unit:
Pm 0.0000 0.0000 0.0000 [3 per cell]
Th 0.0000 0.0000 0.5000 [3 per cell]
Pd 0.0000 0.0000 0.2473 [6 per cell]

Computed properties:
E_form	-0.704	eV/atom
total DFT energy (no corrections)	-6.3431	eV per atom
crystal system	trigonal
volume	313.62	Å³/cell
theoretical density	9.37	g cm⁻³
DOS at the Fermi energy	0.477	states/eV per atom

Repeat the second record exactly.
Compound: PmTh2Pd2
Source: the Alexandria database
Functional: PBE-GGA
Structure: relaxed

Lattice parameters (Å, degrees): 8.224 8.224 3.833 90.00 90.00 90.00
Space group P4/mbm (No. 127)
Asymmetric unit:
Pm 0.000 0.000 0.000 [2 per cell]
Th 0.169 0.331 0.500 [4 per cell]
Pd 0.125 0.625 0.000 [4 per cell]

Computed properties:
E_form	-0.593	eV/atom
total DFT energy (no corrections)	-6.5885	eV per atom
crystal system	tetragonal
volume	259.25	Å³/cell
theoretical density	10.53	g cm⁻³
DOS at the Fermi energy	1.223	states/eV per atom

> What is the formula in the second record?

PmTh2Pd2

> Look up the E_form of the third one.

-0.374 eV/atom